1.
# Nd2SmY3Sb6

Crystalline Nd2SmY3Sb6 at its relaxed geometry (PBE, Alexandria via LeMat-Bulk).

## Properties
Magnetization in μB/atom: 0.00
Volume in Å³ per cell: 748
Formation energy (no corrections) in kJ/mol of formula units: -1358

Unit cell a=7.7117 b=13.3570 c=7.6989 alpha=90.00 beta=109.49 gamma=90.00
Space group C2/m (No. 12)
Symmetry-distinct sites (fractional):
Nd (0.0000, 0.1664, 0.0000) (multiplicity 4)
Sm (0.0000, 0.5000, 0.0000) (multiplicity 2)
Y (0.0000, 0.0000, 0.5000) (multiplicity 2)
Y (0.0000, 0.3325, 0.5000) (multiplicity 4)
Sb (0.2453, 0.5000, 0.7421) (multiplicity 4)
Sb (0.2486, 0.1658, 0.7429) (multiplicity 8)

---

2.
# Nd2Sm3YSb6

Crystalline Nd2Sm3YSb6 at its relaxed geometry (PBE, Alexandria via LeMat-Bulk).

## Properties
Magnetization in μB/atom: 0.00
Volume in Å³ per cell: 761
Formation energy (no corrections) in kJ/mol of formula units: -1362

Unit cell a=19.5112 b=4.4787 c=8.9510 alpha=90.00 beta=103.26 gamma=90.00
Space group C2/m (No. 12)
Symmetry-distinct sites (fractional):
Nd (0.1659, 0.0000, 0.3323) (multiplicity 4)
Sm (0.0000, 0.5000, 0.5000) (multiplicity 2)
Sm (0.1676, 0.0000, 0.8337) (multiplicity 4)
Y (0.0000, 0.5000, 0.0000) (multiplicity 2)
Sb (0.0014, 0.0000, 0.7542) (multiplicity 4)
Sb (0.1651, 0.5000, 0.0799) (multiplicity 4)
Sb (0.1661, 0.5000, 0.5850) (multiplicity 4)

---

Question: Number 2 is which compound?
Answer: Nd2Sm3YSb6